A relaxed structure of Be2CoF2. Source: Alexandria, functional PBE with a Hubbard U.

```
Be2CoF2
1.0
7.464 0.000 0.000
0.000 7.464 0.000
0.000 0.000 2.426
Be Co F
4 2 4
Cartesian
1.494 2.238 0.000 Be
2.238 5.970 0.000 Be
5.227 1.494 0.000 Be
5.970 5.227 0.000 Be
0.000 0.000 0.000 Co
3.732 3.732 0.000 Co
0.851 2.881 1.213 F
2.881 6.613 1.213 F
4.583 0.851 1.213 F
6.613 4.583 1.213 F
```

Calculated values
Magnetization ... 0.356 μB/atom
E above lowest polymorph ... 3.1 meV per atom
Space-group type ... P4/mbm, No. 127
DOS(E_F) ... 2.1 states/eV/cell